#i
First-principles (PBE+U) data for a relaxed structure of Sr4Fe4O11, as listed in the Alexandria database.

Lattice parameters (Å, degrees): 5.580 11.108 7.856 90.00 90.00 90.00
Fractional positions:
Sr1 0.239 0.127 0.242
Sr2 0.239 0.127 0.758
Sr3 0.261 0.627 0.258
Sr4 0.261 0.627 0.742
Sr5 0.739 0.373 0.258
Sr6 0.739 0.373 0.742
Sr7 0.761 0.873 0.242
Sr8 0.761 0.873 0.758
Fe1 0.235 0.867 0.500
Fe2 0.245 0.378 0.500
Fe3 0.255 0.878 0.000
Fe4 0.265 0.367 0.000
Fe5 0.735 0.633 0.000
Fe6 0.745 0.122 0.000
Fe7 0.755 0.622 0.500
Fe8 0.765 0.133 0.500
O1 0.000 0.000 0.000
O2 0.000 0.000 0.500
O3 0.000 0.500 0.500
O4 0.007 0.743 0.500
O5 0.020 0.742 0.000
O6 0.224 0.388 0.237
O7 0.224 0.388 0.763
O8 0.276 0.888 0.263
O9 0.276 0.888 0.737
O10 0.480 0.242 0.500
O11 0.493 0.243 0.000
O12 0.500 0.000 0.000
O13 0.500 0.500 0.000
O14 0.500 0.500 0.500
O15 0.507 0.757 0.000
O16 0.520 0.758 0.500
O17 0.724 0.112 0.263
O18 0.724 0.112 0.737
O19 0.776 0.612 0.237
O20 0.776 0.612 0.763
O21 0.980 0.258 0.000
O22 0.993 0.257 0.500

The crystal system is orthorhombic. Its space-group type is Pnnm (58). The calculation puts the magnetic moment at 17.97 μB/f.u. The value obtained for the calculated volume is 243.4 Å³/f.u.

#ii
First-principles (PBE+U) data for a relaxed structure of Sr4Fe4O11, as listed in the Alexandria database.

Lattice parameters (Å, degrees): 6.806 6.806 5.542 90.00 90.00 109.85
Fractional positions:
Sr1 0.000 0.000 0.000
Sr2 0.241 0.759 0.500
Sr3 0.500 0.500 0.000
Sr4 0.759 0.241 0.500
Fe1 0.000 0.500 0.000
Fe2 0.245 0.245 0.500
Fe3 0.500 0.000 0.000
Fe4 0.755 0.755 0.500
O1 0.000 0.000 0.500
O2 0.159 0.401 0.260
O3 0.159 0.401 0.740
O4 0.226 0.774 0.000
O5 0.401 0.159 0.260
O6 0.401 0.159 0.740
O7 0.599 0.841 0.260
O8 0.599 0.841 0.740
O9 0.774 0.226 0.000
O10 0.841 0.599 0.260
O11 0.841 0.599 0.740

The crystal system is orthorhombic. Its space-group type is Cmmm (65). The calculation puts the magnetic moment at 18.03 μB/f.u. The value obtained for the calculated volume is 241.4 Å³/f.u.

Which of them is most stable? Easy: #ii.

#i
First-principles (PBE+U) data for a relaxed structure of Ta2Fe2O, as listed in the Alexandria database.

Lattice parameters (Å, degrees): 5.578 5.578 4.936 90.00 90.00 90.00
Fractional positions:
Ta1 0.165 0.335 0.000
Ta2 0.335 0.835 0.000
Ta3 0.665 0.165 0.000
Ta4 0.835 0.665 0.000
Fe1 0.160 0.660 0.500
Fe2 0.340 0.160 0.500
Fe3 0.660 0.840 0.500
Fe4 0.840 0.340 0.500
O1 0.000 0.000 0.500
O2 0.500 0.500 0.500

The crystal system is tetragonal. Its space-group type is P4/mbm (127). The calculation puts the magnetic moment at 6.02 μB/f.u. The value obtained for the calculated volume is 76.8 Å³/f.u.

#ii
First-principles (PBE+U) data for a relaxed structure of Ta2Fe2O, as listed in the Alexandria database.

Lattice parameters (Å, degrees): 3.577 3.577 14.181 90.00 90.00 90.00
Fractional positions:
Ta1 0.000 0.500 0.250
Ta2 0.000 0.500 0.750
Ta3 0.500 0.000 0.250
Ta4 0.500 0.000 0.750
Fe1 0.000 0.000 0.090
Fe2 0.000 0.000 0.910
Fe3 0.500 0.500 0.410
Fe4 0.500 0.500 0.590
O1 0.000 0.000 0.500
O2 0.500 0.500 0.000

The crystal system is tetragonal. Its space-group type is I4/mmm (139). The calculation puts the magnetic moment at 6.42 μB/f.u. The value obtained for the calculated volume is 90.7 Å³/f.u.

Which of them is most stable? Easy: #i.

#i
First-principles (PBE+U) data for a relaxed structure of FeTcO, as listed in the Alexandria database.

Lattice parameters (Å, degrees): 2.858 2.858 5.371 90.00 90.00 120.00
Fractional positions:
Fe1 0.000 0.000 0.000
Tc1 0.333 0.667 0.381
O1 0.000 0.000 0.615

The crystal system is trigonal. Its space-group type is P3m1 (156). The calculation puts the magnetic moment at 3.45 μB/f.u. The value obtained for the calculated volume is 38.0 Å³/f.u.

#ii
First-principles (PBE+U) data for a relaxed structure of FeTcO, as listed in the Alexandria database.

Lattice parameters (Å, degrees): 2.865 11.147 4.631 90.00 90.00 90.00
Fractional positions:
Fe1 0.000 0.075 0.000
Fe2 0.000 0.925 0.500
Fe3 0.500 0.425 0.500
Fe4 0.500 0.575 0.000
Tc1 0.000 0.376 0.985
Tc2 0.000 0.624 0.485
Tc3 0.500 0.124 0.485
Tc4 0.500 0.876 0.985
O1 0.000 0.216 0.731
O2 0.000 0.784 0.231
O3 0.500 0.284 0.231
O4 0.500 0.716 0.731

The crystal system is orthorhombic. Its space-group type is Cmc2_1 (36). The calculation puts the magnetic moment at 3.24 μB/f.u. The value obtained for the calculated volume is 37.0 Å³/f.u.

Which of them is most stable? Easy: #i.

#i
First-principles (PBE+U) data for a relaxed structure of FeTcO, as listed in the Alexandria database.

Lattice parameters (Å, degrees): 13.451 2.910 4.229 90.00 96.49 90.00
Fractional positions:
Fe1 0.000 0.000 0.000
Fe2 0.208 0.500 0.388
Fe3 0.500 0.500 0.000
Fe4 0.708 0.000 0.388
Tc1 0.321 0.000 0.916
Tc2 0.414 0.000 0.465
Tc3 0.821 0.500 0.916
Tc4 0.914 0.500 0.465
O1 0.060 0.500 0.293
O2 0.212 0.500 0.885
O3 0.560 0.000 0.293
O4 0.712 0.000 0.885

The crystal system is monoclinic. Its space-group type is Cm (8). The calculation puts the magnetic moment at 3.53 μB/f.u. The value obtained for the calculated volume is 41.1 Å³/f.u.

#ii
First-principles (PBE+U) data for a relaxed structure of FeTcO, as listed in the Alexandria database.

Lattice parameters (Å, degrees): 4.850 2.770 5.393 90.00 91.70 90.00
Fractional positions:
Fe1 0.000 0.000 0.000
Fe2 0.403 0.000 0.338
Tc1 0.481 0.500 0.913
Tc2 0.859 0.500 0.396
O1 0.246 0.500 0.578
O2 0.747 0.000 0.699

The crystal system is monoclinic. Its space-group type is Pm (6). The calculation puts the magnetic moment at 3.33 μB/f.u. The value obtained for the calculated volume is 36.2 Å³/f.u.

Which of them is most stable? Easy: #i.

#i
First-principles (PBE+U) data for a relaxed structure of FeTc3O, as listed in the Alexandria database.

Lattice parameters (Å, degrees): 4.057 4.057 4.057 90.00 90.00 90.00
Fractional positions:
Fe1 0.000 0.000 0.000
Tc1 0.000 0.500 0.500
Tc2 0.500 0.000 0.500
Tc3 0.500 0.500 0.000
O1 0.500 0.500 0.500

The crystal system is cubic. Its space-group type is Pm-3m (221). The calculation puts the magnetic moment at 2.44 μB/f.u. The value obtained for the calculated volume is 66.8 Å³/f.u.

#ii
First-principles (PBE+U) data for a relaxed structure of FeTc3O, as listed in the Alexandria database.

Lattice parameters (Å, degrees): 4.466 4.466 4.466 90.00 90.00 90.00
Fractional positions:
Fe1 0.000 0.000 0.000
Tc1 0.000 0.000 0.500
Tc2 0.000 0.500 0.000
Tc3 0.500 0.000 0.000
O1 0.500 0.500 0.500

The crystal system is cubic. Its space-group type is Pm-3m (221). The calculation puts the magnetic moment at 2.44 μB/f.u. The value obtained for the calculated volume is 89.1 Å³/f.u.

Which of them is most stable? Easy: #i.

#i
First-principles (PBE+U) data for a relaxed structure of FeTcO4, as listed in the Alexandria database.

Lattice parameters (Å, degrees): 5.079 4.546 5.643 90.00 90.00 90.00
Fractional positions:
Fe1 0.000 0.000 0.000
Fe2 0.000 0.500 0.500
Tc1 0.500 0.000 0.311
Tc2 0.500 0.500 0.811
O1 0.177 0.223 0.280
O2 0.177 0.277 0.780
O3 0.342 0.741 0.543
O4 0.342 0.759 0.043
O5 0.658 0.241 0.043
O6 0.658 0.259 0.543
O7 0.823 0.723 0.780
O8 0.823 0.777 0.280

The crystal system is orthorhombic. Its space-group type is Pnc2 (30). The calculation puts the magnetic moment at 3.20 μB/f.u. The value obtained for the calculated volume is 65.2 Å³/f.u.

#ii
First-principles (PBE+U) data for a relaxed structure of FeTcO4, as listed in the Alexandria database.

Lattice parameters (Å, degrees): 5.229 5.229 9.336 90.00 90.00 90.00
Fractional positions:
Fe1 0.000 0.000 0.000
Fe2 0.500 0.500 0.500
Tc1 0.000 0.500 0.250
Tc2 0.500 0.000 0.750
O1 0.133 0.260 0.136
O2 0.240 0.633 0.364
O3 0.260 0.867 0.864
O4 0.367 0.240 0.636
O5 0.633 0.760 0.636
O6 0.740 0.133 0.864
O7 0.760 0.367 0.364
O8 0.867 0.740 0.136

The crystal system is tetragonal. Its space-group type is I-4 (82). The calculation puts the magnetic moment at 3.00 μB/f.u. The value obtained for the calculated volume is 127.6 Å³/f.u.

Which of them is most stable? Easy: #i.

#i
First-principles (PBE+U) data for a relaxed structure of Fe2TeO5, as listed in the Alexandria database.

Lattice parameters (Å, degrees): 8.699 7.172 5.207 90.00 123.90 90.00
Fractional positions:
Fe1 0.000 0.227 0.000
Fe2 0.000 0.773 0.000
Fe3 0.500 0.273 0.000
Fe4 0.500 0.727 0.000
Te1 0.323 0.500 0.261
Te2 0.823 0.000 0.261
O1 0.058 0.000 0.304
O2 0.066 0.500 0.140
O3 0.269 0.267 0.056
O4 0.269 0.733 0.056
O5 0.420 0.500 0.691
O6 0.558 0.500 0.304
O7 0.566 0.000 0.140
O8 0.769 0.233 0.056
O9 0.769 0.767 0.056
O10 0.920 0.000 0.691

The crystal system is monoclinic. Its space-group type is Cm (8). The calculation puts the magnetic moment at 7.97 μB/f.u. The value obtained for the calculated volume is 134.8 Å³/f.u.

#ii
First-principles (PBE+U) data for a relaxed structure of Fe2TeO5, as listed in the Alexandria database.

Lattice parameters (Å, degrees): 7.780 5.038 10.947 90.00 103.21 90.00
Fractional positions:
Fe1 0.031 0.071 0.369
Fe2 0.031 0.429 0.869
Fe3 0.185 0.046 0.092
Fe4 0.185 0.454 0.592
Fe5 0.815 0.546 0.408
Fe6 0.815 0.954 0.908
Fe7 0.969 0.571 0.131
Fe8 0.969 0.929 0.631
Te1 0.357 0.560 0.333
Te2 0.357 0.940 0.833
Te3 0.643 0.060 0.167
Te4 0.643 0.440 0.667
O1 0.051 0.750 0.485
O2 0.051 0.750 0.985
O3 0.102 0.630 0.734
O4 0.102 0.870 0.234
O5 0.230 0.104 0.683
O6 0.230 0.396 0.183
O7 0.259 0.201 0.935
O8 0.259 0.299 0.435
O9 0.424 0.624 0.661
O10 0.424 0.876 0.161
O11 0.576 0.124 0.839
O12 0.576 0.376 0.339
O13 0.741 0.701 0.565
O14 0.741 0.799 0.065
O15 0.770 0.604 0.817
O16 0.770 0.896 0.317
O17 0.898 0.130 0.766
O18 0.898 0.370 0.266
O19 0.949 0.250 0.015
O20 0.949 0.250 0.515

The crystal system is monoclinic. Its space-group type is P2_1/c (14). The calculation puts the magnetic moment at 10.00 μB/f.u. The value obtained for the calculated volume is 104.4 Å³/f.u.

Which of them is most stable? Easy: #ii.